Compound: Ba2Nb3TcO12
Source: Alexandria
Functional: PBE
Structure: relaxed

V in A^3/atom: 16.3
SG: No. 166
N(E_F) in states/eV/f.u.: 7.7
Total magnetization in μB/atom: 0.11
E_tot in eV per formula unit: -146.94

abc: 7.410 7.410 7.410
angles: 60.91 60.91 60.91
Fractional positions:
Ba: 0.176 0.176 0.176
Ba: 0.824 0.824 0.824
Nb: 0.000 0.500 0.500
Nb: 0.500 0.000 0.500
Nb: 0.500 0.500 0.000
Tc: 0.500 0.500 0.500
O: 0.182 0.182 0.550
O: 0.182 0.550 0.182
O: 0.189 0.566 0.566
O: 0.434 0.434 0.811
O: 0.434 0.811 0.434
O: 0.450 0.818 0.818
O: 0.550 0.182 0.182
O: 0.566 0.189 0.566
O: 0.566 0.566 0.189
O: 0.811 0.434 0.434
O: 0.818 0.450 0.818
O: 0.818 0.818 0.450

---

Compound: BaNbTcO6
Source: Alexandria
Functional: PBE
Structure: relaxed

V in A^3/atom: 15.0
SG: No. 102
Total magnetization in μB/atom: 0.00
E_tot in eV per formula unit: -70.66

abc: 5.186 5.186 10.010
angles: 90.00 90.00 90.00
Fractional positions:
Ba: 0.000 0.000 0.000
Ba: 0.500 0.500 0.500
Nb: 0.000 0.000 0.351
Nb: 0.500 0.500 0.851
Tc: 0.000 0.000 0.672
Tc: 0.500 0.500 0.172
O: 0.159 0.159 0.513
O: 0.241 0.759 0.715
O: 0.248 0.248 0.803
O: 0.252 0.748 0.303
O: 0.259 0.259 0.215
O: 0.341 0.659 0.013
O: 0.659 0.341 0.013
O: 0.741 0.741 0.215
O: 0.748 0.252 0.303
O: 0.752 0.752 0.803
O: 0.759 0.241 0.715
O: 0.841 0.841 0.513

---

Compound: Ba2NbTc3O12
Source: Alexandria
Functional: PBE
Structure: relaxed

V in A^3/atom: 15.7
SG: No. 166
N(E_F) in states/eV/f.u.: 7.4
Total magnetization in μB/atom: 0.09
E_tot in eV per formula unit: -138.82

abc: 7.444 7.444 7.444
angles: 58.67 58.67 58.67
Fractional positions:
Ba: 0.176 0.176 0.176
Ba: 0.824 0.824 0.824
Nb: 0.500 0.500 0.500
Tc: 0.000 0.500 0.500
Tc: 0.500 0.000 0.500
Tc: 0.500 0.500 0.000
O: 0.171 0.576 0.576
O: 0.195 0.195 0.564
O: 0.195 0.564 0.195
O: 0.424 0.424 0.829
O: 0.424 0.829 0.424
O: 0.436 0.805 0.805
O: 0.564 0.195 0.195
O: 0.576 0.171 0.576
O: 0.576 0.576 0.171
O: 0.805 0.436 0.805
O: 0.805 0.805 0.436
O: 0.829 0.424 0.424

---

Compound: BaNbTc2O8
Source: Alexandria
Functional: PBE
Structure: relaxed

V in A^3/atom: 15.8
SG: No. 12
N(E_F) in states/eV/f.u.: 6.3
Total magnetization in μB/atom: 0.20
E_tot in eV per formula unit: -94.59

abc: 5.262 5.262 7.339
angles: 100.63 100.63 73.75
Fractional positions:
Ba: 0.000 0.000 0.000
Nb: 0.000 0.000 0.500
Tc: 0.436 0.436 0.770
Tc: 0.564 0.564 0.230
O: 0.222 0.762 0.698
O: 0.238 0.778 0.302
O: 0.239 0.239 0.589
O: 0.351 0.351 0.985
O: 0.649 0.649 0.015
O: 0.761 0.761 0.411
O: 0.762 0.222 0.698
O: 0.778 0.238 0.302

---

Compound: BaNbTeO6
Source: Alexandria
Functional: PBE
Structure: relaxed

V in A^3/atom: 16.7
SG: No. 163
N(E_F) in states/eV/f.u.: 2.9
Total magnetization in μB/atom: 0.00
E_tot in eV per formula unit: -63.71

abc: 5.508 5.508 11.475
angles: 90.00 90.00 120.00
Fractional positions:
Ba: 0.000 0.000 0.000
Ba: 0.000 0.000 0.500
Nb: 0.333 0.667 0.250
Nb: 0.667 0.333 0.750
Te: 0.333 0.667 0.750
Te: 0.667 0.333 0.250
O: 0.002 0.398 0.150
O: 0.002 0.603 0.350
O: 0.397 0.398 0.350
O: 0.397 0.998 0.150
O: 0.398 0.002 0.650
O: 0.398 0.397 0.850
O: 0.602 0.603 0.150
O: 0.602 0.998 0.350
O: 0.603 0.002 0.850
O: 0.603 0.602 0.650
O: 0.998 0.397 0.650
O: 0.998 0.602 0.850

---

Compound: Ba2Nb2TeO10
Source: Alexandria
Functional: PBE
Structure: relaxed

V in A^3/atom: 15.7
SG: No. 61
N(E_F) in states/eV/f.u.: 0.0
Total magnetization in μB/atom: 0.00
E_tot in eV per formula unit: -112.66

abc: 7.387 12.712 10.061
angles: 90.00 90.00 90.00
Fractional positions:
Ba: 0.014 0.141 0.113
Ba: 0.014 0.359 0.613
Ba: 0.486 0.641 0.113
Ba: 0.486 0.859 0.613
Ba: 0.514 0.141 0.387
Ba: 0.514 0.359 0.887
Ba: 0.986 0.641 0.387
Ba: 0.986 0.859 0.887
Nb: 0.214 0.105 0.742
Nb: 0.214 0.395 0.242
Nb: 0.286 0.605 0.742
Nb: 0.286 0.895 0.242
Nb: 0.714 0.105 0.758
Nb: 0.714 0.395 0.258
Nb: 0.786 0.605 0.758
Nb: 0.786 0.895 0.258
Te: 0.000 0.000 0.500
Te: 0.000 0.500 0.000
Te: 0.500 0.000 0.000
Te: 0.500 0.500 0.500
O: 0.053 0.584 0.665
O: 0.053 0.916 0.165
O: 0.079 0.138 0.569
O: 0.079 0.362 0.069
O: 0.123 0.555 0.153
O: 0.123 0.945 0.653
O: 0.223 0.242 0.794
O: 0.223 0.258 0.294
O: 0.231 0.513 0.903
O: 0.231 0.987 0.403
O: 0.269 0.013 0.903
O: 0.269 0.487 0.403
O: 0.277 0.742 0.794
O: 0.277 0.758 0.294
O: 0.377 0.055 0.153
O: 0.377 0.445 0.653
O: 0.421 0.638 0.569
O: 0.421 0.862 0.069
O: 0.447 0.084 0.665
O: 0.447 0.416 0.165
O: 0.553 0.584 0.835
O: 0.553 0.916 0.335
O: 0.579 0.138 0.931
O: 0.579 0.362 0.431
O: 0.623 0.555 0.347
O: 0.623 0.945 0.847
O: 0.723 0.242 0.706
O: 0.723 0.258 0.206
O: 0.731 0.513 0.597
O: 0.731 0.987 0.097
O: 0.769 0.013 0.597
O: 0.769 0.487 0.097
O: 0.777 0.742 0.706
O: 0.777 0.758 0.206
O: 0.877 0.055 0.347
O: 0.877 0.445 0.847
O: 0.921 0.638 0.931
O: 0.921 0.862 0.431
O: 0.947 0.084 0.835
O: 0.947 0.416 0.335